Computed, not measured: a relaxed ScPt2Se crystal at the PBE level of DFT.

Values from the calculation:
- formation energy (no corrections) (meV per atom) = -691
- ρ (g/cm³) = 11.4

a = 3.7106 Å, b = 3.7106 Å, c = 5.4308 Å
α = 90.00°, β = 90.00°, γ = 90.00°
Space group P4mm (No. 99)
One atom of each set of equivalent atoms:
Sc1 0.0000 0.0000 0.0000 [1 per cell]
Pt1 0.0000 0.0000 0.5227 [1 per cell]
Pt2 0.5000 0.5000 0.6262 [1 per cell]
Se1 0.5000 0.5000 0.1448 [1 per cell]